Computed, not measured: a relaxed structure of Li2LaSb at the PBE-GGA level of DFT.

abc: 5.0285 4.5725 4.5725
angles: 90.00 90.00 90.00
Positions (direct):
1 La 0.5000 0.0000 0.5000
2 Li 0.0000 0.0000 0.0000
3 Li 0.0000 0.5000 0.5000
4 Sb 0.5000 0.5000 0.0000

Calculated values
SG   P4/mmm
Magnetic moment   0.0 Bohr magnetons per cell
Formation energy without anion corrections   -51.2 kJ/mol of atoms